## FeTcNi2N (GGA-PBE)

Data for a relaxed structure of FeTcNi2N.

a b c (Å): 3.7952 3.7952 3.9627
angles (deg): 90.00 90.00 90.00
Positions (direct):
Fe  0.0000  0.0000  0.0000
Tc  0.5000  0.5000  0.0000
Ni  0.0000  0.5000  0.5000
Ni  0.5000  0.0000  0.5000
N  0.5000  0.5000  0.5000

Results
**DFT total energy**: -7.63 eV/atom
**Uncorrected formation energy**: 0.11 eV/atom
**M_tot**: 4.068 μB per cell
**SG**: P4/mmm
**DOS(E_F)**: 0.940 states/eV/atom